Record 1
Here is Rb2NaZnCl6 after structural relaxation from OQMD via LeMat-Bulk. Energies are from GGA-PBE.

Results
The space group is No. 87. The value obtained for the calculated total energy is -29.53 eV/f.u.

Cell: 7.2564 7.2564 7.2564 Å, 120.01 120.01 89.98°
Element x y z (fractional)
Rb 0.7500 0.2500 0.5000
Rb 0.2500 0.7500 0.5000
Cl 0.2353 0.2404 0.4757
Cl 0.2379 0.2379 0.0000
Cl 0.7595 0.2353 0.9948
Cl 0.7647 0.7595 0.5243
Cl 0.2404 0.7647 0.0052
Cl 0.7621 0.7621 0.0000
Zn 0.0000 0.0000 0.0000
Na 0.5000 0.5000 0.0000



Record 2
Here is Ho3ScSn2C2 after structural relaxation from OQMD via LeMat-Bulk. Energies are from GGA-PBE.

Results
The space group is No. 156. The value obtained for the calculated total energy is -51.10 eV/f.u. As for the magnetic moment: 0.03 μB/cell.

Cell: 3.5440 3.5440 15.5869 Å, 90.00 90.00 120.00°
Element x y z (fractional)
C 0.0000 0.0000 0.4987
C 0.0000 0.0000 0.0064
Sc 0.3333 0.6667 0.0826
Sn 0.6667 0.3333 0.2417
Sn 0.3333 0.6667 0.7527
Ho 0.3333 0.6667 0.4125
Ho 0.6667 0.3333 0.5847
Ho 0.6667 0.3333 0.9207



Q: What is the formula in the first record?
A: Rb2NaZnCl6



Q: What is the calculated total energy in the second record?
A: -51.10 eV/f.u.



Q: Look up the calculated total energy of the second one.
A: -51.10 eV/f.u.